(1)
Computed, not measured: a relaxed Na2IrRhO4 crystal at the GGA-PBE level of DFT.

a = 5.423 Å, b = 3.220 Å, c = 5.566 Å
α = 90.00°, β = 110.01°, γ = 90.00°
Space group P2/m (No. 10)
Symmetry-distinct sites (fractional):
Na 0.000 0.000 0.000 [1 per cell]
Na 0.000 0.500 0.500 [1 per cell]
Ir 0.500 0.000 0.500 [1 per cell]
Rh 0.500 0.500 0.000 [1 per cell]
O 0.304 0.000 0.768 [2 per cell]
O 0.307 0.500 0.269 [2 per cell]

Properties
M_tot = 0.00 μB per atom
energy relative to the elements, uncorrected = -1.03 eV/atom
E = -5.869 eV/atom

***

(2)
Computed, not measured: a relaxed Na3IrRh2O6 crystal at the GGA-PBE level of DFT.

a = 5.549 Å, b = 9.610 Å, c = 5.441 Å
α = 90.00°, β = 109.88°, γ = 90.00°
Space group C2/m (No. 12)
Symmetry-distinct sites (fractional):
Na 0.000 0.000 0.000 [2 per cell]
Na 0.000 0.333 0.000 [4 per cell]
Ir 0.000 0.500 0.500 [2 per cell]
Rh 0.000 0.167 0.500 [4 per cell]
O 0.231 0.334 0.696 [8 per cell]
O 0.233 0.000 0.695 [4 per cell]

Properties
M_tot = 0.00 μB per atom
energy relative to the elements, uncorrected = -1.06 eV/atom
E = -5.834 eV/atom

***

(3)
Computed, not measured: a relaxed Na2IrRuO6 crystal at the GGA-PBE level of DFT.

a = 5.493 Å, b = 5.493 Å, c = 3.896 Å
α = 90.00°, β = 90.00°, γ = 90.00°
Space group P4/mmm (No. 123)
Symmetry-distinct sites (fractional):
Na 0.000 0.500 0.000 [2 per cell]
Ir 0.000 0.000 0.500 [1 per cell]
Ru 0.500 0.500 0.500 [1 per cell]
O 0.000 0.000 0.000 [1 per cell]
O 0.250 0.250 0.500 [4 per cell]
O 0.500 0.500 0.000 [1 per cell]

Properties
M_tot = 0.10 μB per atom
energy relative to the elements, uncorrected = -0.97 eV/atom
E = -6.026 eV/atom

***

(4)
Computed, not measured: a relaxed NaIr2RuO8 crystal at the GGA-PBE level of DFT.

a = 5.5623 Å, b = 5.5623 Å, c = 6.1474 Å
α = 90.00°, β = 90.00°, γ = 120.00°
Space group P-3 (No. 147)
Symmetry-distinct sites (fractional):
Na 0.0000 0.0000 0.0000 [1 per cell]
Ir 0.3333 0.6667 0.4418 [2 per cell]
Ru 0.0000 0.0000 0.5000 [1 per cell]
O 0.0766 0.3635 0.6365 [6 per cell]
O 0.3333 0.6667 0.1529 [2 per cell]

Properties
M_tot = 0.00 μB per atom
energy relative to the elements, uncorrected = -0.58 eV/atom
E = -6.245 eV/atom

***

(5)
Computed, not measured: a relaxed NaSbIrO6 crystal at the GGA-PBE level of DFT.

a = 5.3019 Å, b = 5.3019 Å, c = 10.3747 Å
α = 90.00°, β = 90.00°, γ = 120.00°
Space group P-31c (No. 163)
Symmetry-distinct sites (fractional):
Na 0.0000 0.0000 0.0000 [2 per cell]
Sb 0.3333 0.6667 0.2500 [2 per cell]
Ir 0.3333 0.6667 0.7500 [2 per cell]
O 0.0105 0.3787 0.6450 [12 per cell]

Properties
M_tot = 0.29 μB per atom
energy relative to the elements, uncorrected = -1.10 eV/atom
E = -5.991 eV/atom

***

(6)
Computed, not measured: a relaxed Na2SbIrO6 crystal at the GGA-PBE level of DFT.

a = 5.597 Å, b = 5.597 Å, c = 3.883 Å
α = 90.00°, β = 90.00°, γ = 90.00°
Space group P4/mmm (No. 123)
Symmetry-distinct sites (fractional):
Na 0.000 0.500 0.000 [2 per cell]
Sb 0.000 0.000 0.500 [1 per cell]
Ir 0.500 0.500 0.500 [1 per cell]
O 0.000 0.000 0.000 [1 per cell]
O 0.250 0.250 0.500 [4 per cell]
O 0.500 0.500 0.000 [1 per cell]

Properties
M_tot = 0.05 μB per atom
energy relative to the elements, uncorrected = -1.13 eV/atom
E = -5.670 eV/atom

***

(7)
Computed, not measured: a relaxed NaSb2IrO8 crystal at the GGA-PBE level of DFT.

a = 4.774 Å, b = 6.396 Å, c = 4.788 Å
α = 90.00°, β = 91.88°, γ = 90.00°
Space group P2/m (No. 10)
Symmetry-distinct sites (fractional):
Na 0.000 0.000 0.000 [1 per cell]
Sb 0.500 0.245 0.500 [2 per cell]
Ir 0.000 0.500 0.000 [1 per cell]
O 0.204 0.277 0.199 [4 per cell]
O 0.294 0.500 0.701 [2 per cell]
O 0.315 0.000 0.680 [2 per cell]

Properties
M_tot = 0.16 μB per atom
energy relative to the elements, uncorrected = -1.14 eV/atom
E = -5.977 eV/atom

***

(8)
Computed, not measured: a relaxed Na3Sc2IrO6 crystal at the GGA-PBE level of DFT.

a = 5.419 Å, b = 9.375 Å, c = 5.790 Å
α = 90.00°, β = 108.09°, γ = 90.00°
Space group C2/m (No. 12)
Symmetry-distinct sites (fractional):
Na 0.000 0.000 0.000 [2 per cell]
Na 0.000 0.338 0.000 [4 per cell]
Sc 0.000 0.167 0.500 [4 per cell]
Ir 0.000 0.500 0.500 [2 per cell]
O 0.235 0.000 0.709 [4 per cell]
O 0.237 0.333 0.710 [8 per cell]

Properties
M_tot = 0.00 μB per atom
energy relative to the elements, uncorrected = -2.21 eV/atom
E = -6.813 eV/atom

***

> The highest energy relative to the elements, uncorrected belongs to which entry?

NaIr2RuO8

***

> What is the E in the third record?

-6.026 eV/atom

***

> Which formula does entry 7 have?

NaSb2IrO8